# PBE Tb2Nd6ErTm, relaxed
# Formation enthalpy at 0 K: 2.7 kcal/mol of atoms
# Magnetic moment: 0.00 μB per formula unit
# VASP energy: -4.574 eV/atom
# ρ: 7437 kg/m3
data_Tb2Nd6ErTm
_symmetry_space_group_name_H-M 'C 1 2/c 1'
_symmetry_Int_Tables_number 15
_symmetry_space_group_name_Hall '-C 2yc'
_cell_length_a 9.247
_cell_length_b 15.352
_cell_length_c 9.643
_cell_angle_alpha 90.00
_cell_angle_beta 97.52
_cell_angle_gamma 90.00
loop_
_atom_site_label
_atom_site_type_symbol
_atom_site_fract_x
_atom_site_fract_y
_atom_site_fract_z
_atom_site_occupancy
Tb1 Tb 0.249 0.049 0.045 1
Nd1 Nd 0.059 0.178 0.446 1
Nd2 Nd 0.100 0.392 0.618 1
Nd3 Nd 0.212 0.222 0.811 1
Er1 Er 0.000 0.026 0.750 1
Tm1 Tm 0.000 0.411 0.250 1

***

# PBE LaZrGa2, relaxed
# Formation enthalpy at 0 K: -8.9 kcal/mol of atoms
# Magnetic moment: 0.00 μB per formula unit
# VASP energy: -5.270 eV/atom
# Relative energy among the computed polymorphs: 107 meV per atom
# ρ: 6109 kg/m3
data_LaZrGa2
_symmetry_space_group_name_H-M 'R -3 m'
_symmetry_Int_Tables_number 166
_symmetry_space_group_name_Hall '-R 3 2"'
_cell_length_a 4.5232
_cell_length_b 4.5232
_cell_length_c 17.0089
_cell_angle_alpha 90.00
_cell_angle_beta 90.00
_cell_angle_gamma 120.00
loop_
_atom_site_label
_atom_site_type_symbol
_atom_site_fract_x
_atom_site_fract_y
_atom_site_fract_z
_atom_site_occupancy
La1 La 0.0000 0.0000 0.0000 1
Zr1 Zr 0.0000 0.0000 0.5000 1
Ga1 Ga 0.0000 0.0000 0.2251 1

***

# PBE Rb2PuPtO6, relaxed
# Magnetic moment: 2.00 μB per formula unit
# VASP energy: -6.869 eV/atom
# Raw formation energy: -1.66 eV/atom
# ρ: 8143 kg/m3
data_Rb2PuPtO6
_symmetry_space_group_name_H-M 'F m -3 m'
_symmetry_Int_Tables_number 225
_symmetry_space_group_name_Hall '-F 4 2 3'
_cell_length_a 8.320
_cell_length_b 8.320
_cell_length_c 8.320
_cell_angle_alpha 90.00
_cell_angle_beta 90.00
_cell_angle_gamma 90.00
loop_
_atom_site_label
_atom_site_type_symbol
_atom_site_fract_x
_atom_site_fract_y
_atom_site_fract_z
_atom_site_occupancy
Rb1 Rb 0.250 0.250 0.250 1
Pu1 Pu 0.000 0.000 0.000 1
Pt1 Pt 0.000 0.000 0.500 1
O1 O 0.000 0.000 0.251 1

***

# PBE Nd4Ta, relaxed
# Formation enthalpy at 0 K: 13.5 kcal/mol of atoms
# Magnetic moment: 0.01 μB per formula unit
# VASP energy: -5.601 eV/atom
# ρ: 6780 kg/m3
data_Nd4Ta
_symmetry_space_group_name_H-M 'P m -3 m'
_symmetry_Int_Tables_number 221
_symmetry_space_group_name_Hall '-P 4 2 3'
_cell_length_a 5.704
_cell_length_b 5.704
_cell_length_c 5.704
_cell_angle_alpha 90.00
_cell_angle_beta 90.00
_cell_angle_gamma 90.00
loop_
_atom_site_label
_atom_site_type_symbol
_atom_site_fract_x
_atom_site_fract_y
_atom_site_fract_z
_atom_site_occupancy
Nd1 Nd 0.000 0.000 0.000 1
Nd2 Nd 0.000 0.500 0.500 1
Ta1 Ta 0.500 0.500 0.500 1